Entry 1:
{
  "formula": "TaCuTc",
  "functional": "PBE-GGA",
  "state": "relaxed",
  "cell": [[0.000, 2.921, 2.921], [2.921, 0.000, 2.921], [2.921, 2.921, 0.000]],
  "species": ["Ta", "Cu", "Tc"],
  "frac_coords": [[0.000, 0.000, 0.000], [0.750, 0.750, 0.750], [0.500, 0.500, 0.500]],
  "relative_energy_kj_per_mol_atoms": 59.8
}

Entry 2:
{
  "formula": "Ti2NbSn",
  "functional": "PBE-GGA",
  "state": "relaxed",
  "cell": [[-1.469, 2.457, 5.510], [1.469, -2.457, 5.510], [1.469, 2.457, -5.510]],
  "species": ["Ti", "Ti", "Nb", "Sn"],
  "frac_coords": [[0.244, 0.244, 0.000], [0.756, 0.756, 0.000], [0.500, 0.500, 0.000], [0.000, 0.000, 0.000]],
  "energy_ev_per_cell": -28.5
}

Entry 3:
{
  "formula": "AcPtI",
  "functional": "PBE-GGA",
  "state": "relaxed",
  "cell": [[3.969, -2.293, 0.000], [3.969, 2.293, 0.000], [-0.319, 0.000, 12.424]],
  "species": ["Ac", "Ac", "Pt", "Pt", "I", "I"],
  "frac_coords": [[0.006, 0.006, 0.159], [0.994, 0.994, 0.841], [0.334, 0.334, 0.028], [0.666, 0.666, 0.972], [0.320, 0.320, 0.661], [0.680, 0.680, 0.339]],
  "raw_formation_energy_ev_per_atom": -1.31,
  "relative_energy_kj_per_mol_atoms": 0.0
}

Entry 4:
{
  "formula": "AcBiAu5",
  "functional": "PBE-GGA",
  "state": "relaxed",
  "cell": [[9.753, 0.000, 0.000], [0.000, 5.645, 0.000], [0.000, 0.000, 11.757]],
  "species": ["Ac", "Ac", "Ac", "Ac", "Bi", "Bi", "Bi", "Bi", "Au", "Au", "Au", "Au", "Au", "Au", "Au", "Au", "Au", "Au", "Au", "Au", "Au", "Au", "Au", "Au", "Au", "Au", "Au", "Au"],
  "frac_coords": [[0.249, 0.250, 0.068], [0.251, 0.750, 0.568], [0.749, 0.250, 0.432], [0.751, 0.750, 0.932], [0.148, 0.250, 0.361], [0.352, 0.750, 0.861], [0.648, 0.250, 0.139], [0.852, 0.750, 0.639], [0.044, 0.250, 0.587], [0.065, 0.501, 0.802], [0.065, 0.999, 0.802], [0.078, 0.750, 0.012], [0.193, 0.750, 0.234], [0.307, 0.250, 0.734], [0.422, 0.250, 0.512], [0.435, 0.001, 0.302], [0.435, 0.499, 0.302], [0.456, 0.750, 0.087], [0.544, 0.250, 0.913], [0.565, 0.501, 0.698], [0.565, 0.999, 0.698], [0.578, 0.750, 0.488], [0.693, 0.750, 0.266], [0.807, 0.250, 0.766], [0.922, 0.250, 0.988], [0.935, 0.001, 0.198], [0.935, 0.499, 0.198], [0.956, 0.750, 0.413]],
  "energy_ev_per_cell": -109.5
}

Entry 5:
{
  "formula": "Cu2Pd5",
  "functional": "PBE-GGA",
  "state": "relaxed",
  "cell": [[6.111, -2.355, 0.000], [6.111, 2.355, 0.000], [-0.426, 0.000, 7.099]],
  "species": ["Cu", "Cu", "Cu", "Cu", "Pd", "Pd", "Pd", "Pd", "Pd", "Pd", "Pd", "Pd", "Pd", "Pd"],
  "frac_coords": [[0.102, 0.757, 0.892], [0.243, 0.898, 0.608], [0.757, 0.102, 0.392], [0.898, 0.243, 0.108], [0.047, 0.384, 0.822], [0.187, 0.539, 0.537], [0.320, 0.680, 0.250], [0.384, 0.047, 0.322], [0.461, 0.813, 0.963], [0.539, 0.187, 0.037], [0.616, 0.953, 0.678], [0.680, 0.320, 0.750], [0.813, 0.461, 0.463], [0.953, 0.616, 0.178]],
  "energy_ev_per_cell": -68.8
}